# PBE-GGA TmScCo2, optimized geometry
data_TmScCo2
_chemical_formula_sum 'Tm1 Sc1 Co2'
_symmetry_space_group_name_H-M 'P 1'
_symmetry_Int_Tables_number 1
_symmetry_space_group_name_Hall 'P 1'
_cell_length_a 3.205
_cell_length_b 3.205
_cell_length_c 6.412
_cell_angle_alpha 90.00
_cell_angle_beta 90.00
_cell_angle_gamma 90.00
loop_
_atom_site_label
_atom_site_fract_x
_atom_site_fract_y
_atom_site_fract_z
_atom_site_occupancy
Co1 0.000 0.000 0.236 1
Co2 0.000 0.000 0.764 1
Tm1 0.500 0.500 0.500 1
Sc1 0.500 0.500 0.000 1
# * electronic total energy: -6.529 eV per atom
# * energy of formation from the pure elements: -0.275 eV/atom
# * energy above the lowest structure with this stoichiometry: 0 meV per atom